The following is a PBE calculation of a geometry-optimized CeTiIr2 structure, from the Alexandria database.

Calculated values
formation energy: -133 kJ/mol of formula units

Unit cell a=9.678 b=9.678 c=9.678 alpha=17.09 beta=17.09 gamma=17.09
Fractional coordinates of all 4 atoms:
Ce: 0.000 0.000 0.000
Ti: 0.500 0.500 0.500
Ir: 0.239 0.239 0.239
Ir: 0.761 0.761 0.761

=====

The following is a PBE calculation of a geometry-optimized Tb2EuSb structure, from the Alexandria database.

Calculated values
raw formation energy: -6.4 kcal/mol of atoms

Unit cell a=5.442 b=5.442 c=5.442 alpha=60.00 beta=60.00 gamma=60.00
Fractional coordinates of all 4 atoms:
Tb: 0.250 0.250 0.250
Tb: 0.750 0.750 0.750
Eu: 0.000 0.000 0.000
Sb: 0.500 0.500 0.500

=====

The following is a PBE calculation of a geometry-optimized NiBi2HPb structure, from the Alexandria database.

Unit cell a=5.693 b=5.693 c=3.392 alpha=90.00 beta=90.00 gamma=90.00
Fractional coordinates of all 5 atoms:
Ni: 0.000 0.000 0.000
Bi: 0.000 0.500 0.000
Bi: 0.500 0.000 0.000
H: 0.000 0.000 0.500
Pb: 0.500 0.500 0.500

=====

The following is a PBE calculation of a geometry-optimized MnPtRh3 structure, from the Alexandria database.

Calculated values
formation energy: 485 kJ/mol of formula units

Unit cell a=4.381 b=4.381 c=4.381 alpha=90.00 beta=90.00 gamma=90.00
Fractional coordinates of all 5 atoms:
Mn: 0.000 0.000 0.000
Pt: 0.500 0.500 0.500
Rh: 0.000 0.000 0.500
Rh: 0.000 0.500 0.000
Rh: 0.500 0.000 0.000

=====

The following is a PBE calculation of a geometry-optimized BeRuSe3 structure, from the Alexandria database.

Calculated values
raw formation energy: 16.1 kcal/mol of atoms

Unit cell a=4.446 b=4.446 c=4.446 alpha=90.00 beta=90.00 gamma=90.00
Fractional coordinates of all 5 atoms:
Be: 0.000 0.000 0.000
Ru: 0.500 0.500 0.500
Se: 0.000 0.000 0.500
Se: 0.000 0.500 0.000
Se: 0.500 0.000 0.000

=====

The following is a PBE calculation of a geometry-optimized BaSb3Pt3 structure, from the Alexandria database.

Calculated values
raw formation energy: -12.2 kcal/mol of atoms

Unit cell a=8.988 b=8.988 c=8.988 alpha=50.75 beta=50.75 gamma=50.75
Fractional coordinates of all 14 atoms:
Ba: 0.165 0.165 0.165
Ba: 0.835 0.835 0.835
Sb: 0.089 0.709 0.411
Sb: 0.291 0.589 0.911
Sb: 0.411 0.089 0.709
Sb: 0.589 0.911 0.291
Sb: 0.709 0.411 0.089
Sb: 0.911 0.291 0.589
Pt: 0.029 0.366 0.731
Pt: 0.269 0.971 0.634
Pt: 0.366 0.731 0.029
Pt: 0.634 0.269 0.971
Pt: 0.731 0.029 0.366
Pt: 0.971 0.634 0.269

=====

| no. | calculated density (Mg/m³) | total moment (μB per atom) | total energy (eV/atom) |
| --- | --- | --- | --- |
| 1 | 13.91 | 0.0000 | -8.233 |
| 2 | 8.62 | 1.7610 | -6.191 |
| 3 | 10.34 | 0.0000 | -3.941 |
| 4 | 11.04 | 0.0000 | -6.448 |
| 5 | 6.55 | 0.0000 | -3.993 |
| 6 | 9.00 | 0.0000 | -5.161 |